No. 1
BeCuIrPt: relaxed, PBE.

energy = -94.08 eV/cell
ΔE_f = -0.199 eV/atom
calculated density = 15.23 Mg/m³

Geometry as CIF:
```
data_BeCuIrPt
_space_group_name_H-M_alt 'F -4 3 m'
_space_group_IT_number 216
_space_group_name_Hall 'F -4 2 3'
_cell_length_a 5.8540
_cell_length_b 5.8540
_cell_length_c 5.8540
_cell_angle_alpha 90.00
_cell_angle_beta 90.00
_cell_angle_gamma 90.00
loop_
_atom_site_label
_atom_site_fract_x
_atom_site_fract_y
_atom_site_fract_z
_atom_site_occupancy
Be1 0.0000 0.0000 0.0000 1
Cu1 0.0000 0.0000 0.5000 1
Ir1 0.2500 0.2500 0.2500 1
Pt1 0.2500 0.2500 0.7500 1
```

---

No. 2
TaPbAu2F: relaxed, PBE.

energy = -25.54 eV/cell
raw formation energy = -0.31 eV per atom
calculated density = 11.74 Mg/m³

Geometry as CIF:
```
data_TaPbAu2F
_space_group_name_H-M_alt 'P 4/m m m'
_space_group_IT_number 123
_space_group_name_Hall '-P 4 2'
_cell_length_a 5.3133
_cell_length_b 5.3133
_cell_length_c 4.0148
_cell_angle_alpha 90.00
_cell_angle_beta 90.00
_cell_angle_gamma 90.00
loop_
_atom_site_label
_atom_site_fract_x
_atom_site_fract_y
_atom_site_fract_z
_atom_site_occupancy
Ta1 0.0000 0.0000 0.0000 1
Pb1 0.5000 0.5000 0.5000 1
Au1 0.0000 0.5000 0.0000 1
F1 0.0000 0.0000 0.5000 1
```

---

No. 3
La2YHo2In5: relaxed, PBE.

energy = -85.76 eV/cell
ΔE_f = -0.371 eV/atom
calculated density = 7.39 Mg/m³

Geometry as CIF:
```
data_La2YHo2In5
_space_group_name_H-M_alt 'P 4/m b m'
_space_group_IT_number 127
_space_group_name_Hall '-P 4 2ab'
_cell_length_a 11.0674
_cell_length_b 11.0674
_cell_length_c 4.6641
_cell_angle_alpha 90.00
_cell_angle_beta 90.00
_cell_angle_gamma 90.00
loop_
_atom_site_label
_atom_site_fract_x
_atom_site_fract_y
_atom_site_fract_z
_atom_site_occupancy
La1 0.1760 0.3240 0.0000 1
Y1 0.0000 0.0000 0.0000 1
Ho1 0.1249 0.6249 0.0000 1
In1 0.0000 0.5000 0.5000 1
In2 0.0617 0.8056 0.5000 1
```

---

No. 4
GeOsRh2: relaxed, PBE.

energy = -110.68 eV/cell
ΔE_f = 0.720 eV/atom
calculated density = 9.20 Mg/m³

Geometry as CIF:
```
data_GeOsRh2
_space_group_name_H-M_alt 'I -4 2 d'
_space_group_IT_number 122
_space_group_name_Hall 'I -4 2bw'
_cell_length_a 5.4416
_cell_length_b 5.4416
_cell_length_c 11.4327
_cell_angle_alpha 90.00
_cell_angle_beta 90.00
_cell_angle_gamma 90.00
loop_
_atom_site_label
_atom_site_fract_x
_atom_site_fract_y
_atom_site_fract_z
_atom_site_occupancy
Ge1 0.0000 0.0000 0.0000 1
Os1 0.0000 0.0000 0.5000 1
Rh1 0.2467 0.2500 0.6250 1
```

---

No. 5
Ta2TiTcAg: relaxed, PBE.

energy = -34.45 eV/cell
ΔE_f = 2.073 eV/atom
calculated density = 9.15 Mg/m³

Geometry as CIF:
```
data_Ta2TiTcAg
_space_group_name_H-M_alt 'P 4/m m m'
_space_group_IT_number 123
_space_group_name_Hall '-P 4 2'
_cell_length_a 4.8179
_cell_length_b 4.8179
_cell_length_c 4.8135
_cell_angle_alpha 90.00
_cell_angle_beta 90.00
_cell_angle_gamma 90.00
loop_
_atom_site_label
_atom_site_fract_x
_atom_site_fract_y
_atom_site_fract_z
_atom_site_occupancy
Ta1 0.0000 0.5000 0.0000 1
Ti1 0.0000 0.0000 0.5000 1
Tc1 0.5000 0.5000 0.5000 1
Ag1 0.5000 0.5000 0.0000 1
```

---

No. 6
Cs2Na9Tl3: relaxed, PBE.

energy = -85.03 eV/cell
ΔE_f = -0.041 eV/atom
calculated density = 3.29 Mg/m³

Geometry as CIF:
```
data_Cs2Na9Tl3
_space_group_name_H-M_alt 'C 1 2/c 1'
_space_group_IT_number 15
_space_group_name_Hall '-C 2yc'
_cell_length_a 17.8679
_cell_length_b 9.9011
_cell_length_c 13.6843
_cell_angle_alpha 90.00
_cell_angle_beta 115.18
_cell_angle_gamma 90.00
loop_
_atom_site_label
_atom_site_fract_x
_atom_site_fract_y
_atom_site_fract_z
_atom_site_occupancy
Cs1 0.1747 0.0791 0.2469 1
Na1 0.0000 0.3492 0.2500 1
Na2 0.0595 0.0817 0.9291 1
Na3 0.0868 0.4150 0.0192 1
Na4 0.1034 0.3232 0.7495 1
Na5 0.2268 0.4160 0.4428 1
Tl1 0.0896 0.2399 0.5076 1
Tl2 0.2500 0.2500 0.0000 1
```

---

No. 7
Sb2PdO2: relaxed, PBE.

energy = -50.57 eV/cell
raw formation energy = -0.39 eV per atom
excess energy over the best structure of this formula in the dataset = 0.134 eV per atom
calculated density = 7.36 Mg/m³

Geometry as CIF:
```
data_Sb2PdO2
_space_group_name_H-M_alt 'I 4/m m m'
_space_group_IT_number 139
_space_group_name_Hall '-I 4 2'
_cell_length_a 4.8614
_cell_length_b 4.8614
_cell_length_c 7.2967
_cell_angle_alpha 90.00
_cell_angle_beta 90.00
_cell_angle_gamma 90.00
loop_
_atom_site_label
_atom_site_fract_x
_atom_site_fract_y
_atom_site_fract_z
_atom_site_occupancy
Sb1 0.0000 0.5000 0.2500 1
Pd1 0.0000 0.0000 0.0000 1
O1 0.0000 0.0000 0.2880 1
```

---

No. 8
TaTc2Te: relaxed, PBE.

energy = -102.62 eV/cell
raw formation energy = 0.38 eV per atom
calculated density = 11.97 Mg/m³

Geometry as CIF:
```
data_TaTc2Te
_space_group_name_H-M_alt 'R 3 m'
_space_group_IT_number 160
_space_group_name_Hall 'R 3 -2"'
_cell_length_a 3.0439
_cell_length_b 3.0439
_cell_length_c 26.1654
_cell_angle_alpha 90.00
_cell_angle_beta 90.00
_cell_angle_gamma 120.00
loop_
_atom_site_label
_atom_site_fract_x
_atom_site_fract_y
_atom_site_fract_z
_atom_site_occupancy
Ta1 0.0000 0.0000 0.0000 1
Tc1 0.0000 0.0000 0.2525 1
Tc2 0.0000 0.0000 0.5080 1
Te1 0.0000 0.0000 0.7573 1
```